Computed, not measured: a relaxed Cu2SiP3 crystal at the PBE level of DFT.

Cell: 6.2380 6.2377 6.3620 Å, 90.00 90.00 120.00°
Closest atoms and distances in Å follow each position.
Fractional positions:
Si: 0.3333 0.6667 0.8671  4 P 2.25-2.27
Si: 0.6667 0.3333 0.8671  4 P 2.25-2.27
P: 0.0000 0.6666 0.0043  2 Si 2.25, 2 Cu 2.26-2.30
P: 0.0000 0.0000 0.5196  4 Cu 2.19-2.28
P: 0.6666 0.3333 0.5110  1 Si 2.27, 3 Cu 2.28
P: 0.6666 0.0000 0.0043  2 Si 2.25, 2 Cu 2.26-2.30
P: 0.3334 0.3334 0.0043  2 Si 2.25, 2 Cu 2.26-2.30
P: 0.3333 0.6667 0.5110  1 Si 2.27, 3 Cu 2.28
Cu: 0.0000 0.0000 0.8641  4 P 2.19-2.26
Cu: 0.6697 0.0000 0.3657  4 P 2.28-2.30
Cu: 0.3304 0.3304 0.3657  4 P 2.28-2.30
Cu: 0.0000 0.6696 0.3657  4 P 2.28-2.30

Properties
Volume ... 214 Å³ per cell
Formation energy from raw total energies ... 0.0117 eV per atom
Raw total energy ... -0.1824 Ha/atom
Spin magnetization ... 0.0 μB/f.u.
Space group ... P31m

***

Computed, not measured: a relaxed BaRhBr2 crystal at the PBE level of DFT.

Cell: 5.5670 5.5670 9.2523 Å, 72.49 72.49 90.00°
Closest atoms and distances in Å follow each position.
Fractional positions:
Rh: 0.2500 0.7500 0.5000  4 Br 2.68
Rh: 0.5000 0.5000 0.0000  4 Br 2.68
Br: 0.3750 0.4597 0.7500  2 Rh 2.68
Br: 0.2097 0.6250 0.2500  2 Rh 2.68
Br: 0.8750 0.7903 0.7500  2 Rh 2.68
Br: 0.5403 0.1250 0.2500  2 Rh 2.68
Ba: 0.0000 0.0000 0.0000  4 Br 3.13
Ba: 0.7500 0.2500 0.5000  4 Br 3.13

Properties
Volume ... 259 Å³ per cell
Formation energy from raw total energies ... -0.7053 eV per atom
Raw total energy ... -0.1419 Ha/atom
Spin magnetization ... 1.0 μB/f.u.
Relative energy among the computed polymorphs ... 182 meV per atom
Space group ... I-42d

***

Computed, not measured: a relaxed YMgNF2 crystal at the PBE level of DFT.

Cell: 4.2888 4.2888 4.6843 Å, 90.00 90.00 90.00°
Closest atoms and distances in Å follow each position.
Fractional positions:
F: 0.5000 0.0000 0.0000  2 Y 2.14
F: 0.0000 0.5000 0.0000  2 Y 2.14
Y: 0.0000 0.0000 0.0000  4 F 2.14, 2 N 2.34
N: 0.0000 0.0000 0.5000  2 Y 2.34
Mg: 0.5000 0.5000 0.5000  4 N 3.03, 8 F 3.18

Properties
Volume ... 86 Å³ per cell
Formation energy from raw total energies ... -1.8797 eV per atom
Raw total energy ... -0.2170 Ha/atom
Spin magnetization ... 0.2 μB/f.u.
Relative energy among the computed polymorphs ... 471 meV per atom
Space group ... P4/mmm

***

Computed, not measured: a relaxed LaTm5Pb6 crystal at the PBE level of DFT.

Cell: 5.1068 8.8291 9.0849 Å, 119.07 106.32 90.00°
Closest atoms and distances in Å follow each position.
Fractional positions:
Pb: 0.5000 0.2585 0.0000  6 Tm 3.32-3.41, 2 La 3.42, 4 Pb 3.61
Pb: 0.1697 0.4237 0.3394  7 Tm 3.26-3.40, 1 La 3.40, 4 Pb 3.52-3.61
Pb: 0.5000 0.7415 0.0000  6 Tm 3.32-3.41, 2 La 3.42, 4 Pb 3.61
Pb: 0.8303 0.0843 0.6606  7 Tm 3.26-3.40, 1 La 3.40, 4 Pb 3.52-3.61
Pb: 0.1697 0.9157 0.3394  7 Tm 3.26-3.40, 1 La 3.40, 4 Pb 3.52-3.61
Pb: 0.8303 0.5763 0.6606  7 Tm 3.26-3.40, 1 La 3.40, 4 Pb 3.52-3.61
Tm: 0.0000 0.5000 0.0000  8 Pb 3.33-3.35, 4 Tm 3.60
Tm: 0.6684 0.1684 0.3368  8 Pb 3.26-3.41, 2 Tm 3.53, 2 La 3.60
Tm: 0.3310 0.3310 0.6619  8 Pb 3.30-3.35, 4 Tm 3.53-3.60
Tm: 0.6690 0.6690 0.3381  8 Pb 3.30-3.35, 4 Tm 3.53-3.60
Tm: 0.3316 0.8316 0.6632  8 Pb 3.26-3.41, 2 Tm 3.53, 2 La 3.60
La: 0.0000 0.0000 0.0000  8 Pb 3.40-3.42, 4 Tm 3.60

Properties
Volume ... 339 Å³ per cell
Raw total energy ... -0.1664 Ha/atom
Spin magnetization ... 0.0 μB/f.u.
Relative energy among the computed polymorphs ... 5 meV per atom
Space group ... Immm
Formation enthalpy at 0 K ... -4.79 eV per formula unit

***

Computed, not measured: a relaxed Ge5Ir2 crystal at the PBE level of DFT.

Cell: 6.3338 6.1314 7.2030 Å, 102.99 116.08 90.00°
Closest atoms and distances in Å follow each position.
Fractional positions:
Ir: 0.8481 0.6022 0.2225  8 Ge 2.51-2.69
Ir: 0.6256 0.8978 0.7775  8 Ge 2.51-2.69
Ir: 0.3744 0.1022 0.2225  8 Ge 2.51-2.69
Ir: 0.1519 0.3978 0.7775  8 Ge 2.51-2.69
Ge: 0.0259 0.0245 0.8201  3 Ir 2.52-2.69, 1 Ge 2.58
Ge: 0.1710 0.7308 0.5974  3 Ir 2.51-2.68, 2 Ge 2.58-2.62
Ge: 0.8290 0.2692 0.4026  3 Ir 2.51-2.68, 2 Ge 2.58-2.62
Ge: 0.9741 0.9755 0.1799  3 Ir 2.52-2.69, 1 Ge 2.58
Ge: 0.7942 0.5245 0.8201  3 Ir 2.52-2.69, 1 Ge 2.58
Ge: 0.4263 0.2308 0.5974  3 Ir 2.51-2.68, 2 Ge 2.58-2.62
Ge: 0.2058 0.4755 0.1799  3 Ir 2.52-2.69, 1 Ge 2.58
Ge: 0.4494 0.7500 0.0000  4 Ir 2.56-2.62, 2 Ge 2.62
Ge: 0.5737 0.7692 0.4026  3 Ir 2.51-2.68, 2 Ge 2.58-2.62
Ge: 0.5506 0.2500 0.0000  4 Ir 2.56-2.62, 2 Ge 2.62

Properties
Volume ... 243 Å³ per cell
Raw total energy ... -0.2210 Ha/atom
Spin magnetization ... 0.0 μB/f.u.
Space group ... C2/c
Formation enthalpy at 0 K ... -1.29 eV per formula unit

***

Computed, not measured: a relaxed Ag2OsPt crystal at the PBE level of DFT.

Cell: 2.7615 2.7615 9.8588 Å, 90.00 90.00 119.22°
Closest atoms and distances in Å follow each position.
Fractional positions:
Ag: 0.5000 0.5000 0.2540  8 Ag 2.76-2.90, 2 Os 2.86
Ag: 0.0000 0.0000 0.9965  8 Ag 2.76-2.90, 2 Pt 2.87
Pt: 0.5000 0.5000 0.7420  2 Os 2.70, 6 Pt 2.76-2.79, 2 Ag 2.87
Os: 0.0000 0.0000 0.5075  2 Pt 2.70, 6 Os 2.76-2.79, 2 Ag 2.86

Properties
Volume ... 66 Å³ per cell
Raw total energy ... -0.1970 Ha/atom
Spin magnetization ... 0.0 μB/f.u.
Relative energy among the computed polymorphs ... 127 meV per atom
Space group ... Cmm2
Formation enthalpy at 0 K ... 1.53 eV per formula unit

***

Computed, not measured: a relaxed Ho2CoAgC crystal at the PBE level of DFT.

Cell: 3.6451 4.9908 4.9908 Å, 90.00 90.00 90.00°
Closest atoms and distances in Å follow each position.
Fractional positions:
Ag: 0.5000 0.5000 0.5000  8 Ho 3.09
Ho: 0.0000 0.5000 0.0000  2 C 2.50
Ho: 0.0000 0.0000 0.5000  2 C 2.50
C: 0.0000 0.0000 0.0000  2 Co 1.82
Co: 0.5000 0.0000 0.0000  2 C 1.82

Properties
Volume ... 91 Å³ per cell
Raw total energy ... -0.2222 Ha/atom
Spin magnetization ... 0.0 μB/f.u.
Space group ... P4/mmm
Formation enthalpy at 0 K ... -1.90 eV per formula unit

***

Computed, not measured: a relaxed Be2FeRe crystal at the PBE level of DFT.

Cell: 2.5845 2.5845 6.6150 Å, 90.00 90.00 100.35°
Closest atoms and distances in Å follow each position.
Fractional positions:
Fe: 0.5000 0.5000 0.2500  8 Be 2.25-2.50
Be: 0.0000 0.0000 0.4805  4 Fe 2.25-2.50, 2 Re 2.43
Be: 0.0000 0.0000 0.0195  4 Fe 2.25-2.50, 2 Re 2.43
Re: 0.5000 0.5000 0.7500  8 Be 2.43-2.67, 4 Re 2.58

Properties
Volume ... 43 Å³ per cell
Raw total energy ... -0.2589 Ha/atom
Spin magnetization ... 2.3 μB/f.u.
Relative energy among the computed polymorphs ... 168 meV per atom
Space group ... Cmmm
Formation enthalpy at 0 K ... 0.19 eV per formula unit

***

Computed, not measured: a relaxed Nb2Cl2O crystal at the PBE level of DFT.

Cell: 4.0703 4.0703 6.2945 Å, 71.14 71.14 90.00°
Closest atoms and distances in Å follow each position.
Fractional positions:
Nb: 0.6007 0.6007 0.7987  1 Nb 2.25
Nb: 0.3993 0.3993 0.2013  1 Nb 2.25
Cl: 0.2500 0.7500 0.5000  4 Nb 2.63, 4 Cl 2.88
Cl: 0.7500 0.2500 0.5000  4 Nb 2.63, 4 Cl 2.88
O: 0.0000 0.0000 0.0000  8 Nb 3.09, 8 Cl 3.46

Properties
Volume ... 93 Å³ per cell
Formation energy from raw total energies ... 0.2287 eV per atom
Raw total energy ... -0.2032 Ha/atom
Spin magnetization ... 0.0 μB/f.u.
Relative energy among the computed polymorphs ... 1259 meV per atom
Space group ... I4/mmm

***

Computed, not measured: a relaxed SrSi4Ni4 crystal at the PBE level of DFT.

Cell: 5.7174 5.7174 7.9422 Å, 90.00 90.00 90.00°
Closest atoms and distances in Å follow each position.
Fractional positions:
Si: 0.5000 0.7938 0.8272  5 Ni 2.32-2.41, 1 Si 2.36
Si: 0.5000 0.2062 0.8272  5 Ni 2.32-2.41, 1 Si 2.36
Si: 0.2938 0.0000 0.3272  5 Ni 2.32-2.41, 1 Si 2.36
Si: 0.0000 0.7062 0.6728  5 Ni 2.32-2.41, 1 Si 2.36
Si: 0.2062 0.5000 0.1728  5 Ni 2.32-2.41, 1 Si 2.36
Si: 0.0000 0.2938 0.6728  5 Ni 2.32-2.41, 1 Si 2.36
Si: 0.7062 0.0000 0.3272  5 Ni 2.32-2.41, 1 Si 2.36
Si: 0.7938 0.5000 0.1728  5 Ni 2.32-2.41, 1 Si 2.36
Sr: 0.0000 0.0000 0.0000  12 Si 3.09-3.38, 12 Ni 3.29-3.39
Sr: 0.5000 0.5000 0.5000  12 Si 3.09-3.38, 12 Ni 3.29-3.39
Ni: 0.2295 0.5000 0.8803  5 Si 2.32-2.41
Ni: 0.0000 0.7295 0.3803  5 Si 2.32-2.41
Ni: 0.2705 0.0000 0.6197  5 Si 2.32-2.41
Ni: 0.5000 0.2295 0.1197  5 Si 2.32-2.41
Ni: 0.7295 0.0000 0.6197  5 Si 2.32-2.41
Ni: 0.0000 0.2705 0.3803  5 Si 2.32-2.41
Ni: 0.5000 0.7705 0.1197  5 Si 2.32-2.41
Ni: 0.7705 0.5000 0.8803  5 Si 2.32-2.41

Properties
Volume ... 260 Å³ per cell
Formation energy from raw total energies ... -0.4910 eV per atom
Raw total energy ... -0.2079 Ha/atom
Spin magnetization ... 0.0 μB/f.u.
Space group ... P4_2/nmc

***

Computed, not measured: a relaxed PmGe4Os2 crystal at the PBE level of DFT.

Cell: 4.2477 6.8183 17.1814 Å, 90.00 90.00 90.00°
Closest atoms and distances in Å follow each position.
Fractional positions:
Ge: 0.7500 0.6790 0.3084  3 Os 2.58-2.64
Ge: 0.7500 0.2506 0.8093  4 Os 2.59-2.61
Ge: 0.2500 0.7494 0.1907  4 Os 2.59-2.61
Ge: 0.7500 0.5145 0.5606  4 Os 2.51-2.72
Ge: 0.7500 0.9855 0.0606  4 Os 2.51-2.72
Ge: 0.2500 0.1790 0.1916  3 Os 2.58-2.64
Ge: 0.2500 0.7506 0.6907  4 Os 2.59-2.61
Ge: 0.2500 0.3210 0.6916  3 Os 2.58-2.64
Ge: 0.7500 0.8210 0.8084  3 Os 2.58-2.64
Ge: 0.7500 0.6362 0.9725  3 Os 2.53-2.59, 1 Ge 2.82
Ge: 0.7500 0.2494 0.3093  4 Os 2.59-2.61
Ge: 0.7500 0.8638 0.4725  3 Os 2.53-2.59, 1 Ge 2.82
Ge: 0.2500 0.0145 0.9394  4 Os 2.51-2.72
Ge: 0.2500 0.4855 0.4394  4 Os 2.51-2.72
Ge: 0.2500 0.3638 0.0275  3 Os 2.53-2.59, 1 Ge 2.82
Ge: 0.2500 0.1362 0.5275  3 Os 2.53-2.59, 1 Ge 2.82
Pm: 0.2500 0.5447 0.8570  9 Ge 2.96-3.23
Pm: 0.7500 0.0447 0.6430  9 Ge 2.96-3.23
Pm: 0.7500 0.4553 0.1430  9 Ge 2.96-3.23
Pm: 0.2500 0.9553 0.3570  9 Ge 2.96-3.23
Os: 0.2500 0.4682 0.2934  7 Ge 2.51-2.64
Os: 0.7500 0.9682 0.2066  7 Ge 2.51-2.64
Os: 0.7500 0.2573 0.9598  7 Ge 2.53-2.72
Os: 0.2500 0.7573 0.5402  7 Ge 2.53-2.72
Os: 0.7500 0.2427 0.4598  7 Ge 2.53-2.72
Os: 0.2500 0.0318 0.7934  7 Ge 2.51-2.64
Os: 0.7500 0.5318 0.7066  7 Ge 2.51-2.64
Os: 0.2500 0.7427 0.0402  7 Ge 2.53-2.72

Properties
Volume ... 498 Å³ per cell
Raw total energy ... -0.2511 Ha/atom
Spin magnetization ... 0.0 μB/f.u.
Relative energy among the computed polymorphs ... 0 meV per atom
Space group ... Pnma
Formation enthalpy at 0 K ... -2.16 eV per formula unit

***

Computed, not measured: a relaxed HoUSe2N crystal at the PBE level of DFT.

Cell: 3.9103 3.9103 14.4498 Å, 90.00 90.00 90.00°
Closest atoms and distances in Å follow each position.
Fractional positions:
Se: 0.0000 0.5000 0.6891  1 Ho 2.73
Se: 0.0000 0.5000 0.0895  5 Ho 2.80-3.05
Se: 0.5000 0.0000 0.3110  1 Ho 2.73
Se: 0.5000 0.0000 0.9105  5 Ho 2.80-3.05
Ho: 0.0000 0.5000 0.8781  6 Se 2.73-3.05
Ho: 0.5000 0.0000 0.1219  6 Se 2.73-3.05
N: 0.0000 0.0000 0.5000  4 U 2.27
N: 0.5000 0.5000 0.5000  4 U 2.27
U: 0.0000 0.5000 0.4206  4 N 2.27
U: 0.5000 0.0000 0.5794  4 N 2.27

Properties
Volume ... 221 Å³ per cell
Formation energy from raw total energies ... -1.6166 eV per atom
Raw total energy ... -0.2884 Ha/atom
Spin magnetization ... 1.7 μB/f.u.
Space group ... P4/nmm

***

> raw total energy of number 12 (HoUSe2N)?

-0.2884 Ha/atom

***

> Which value of raw total energy does entry 6 give?

-0.1970 Ha/atom